DFT (PBE) results for NaY2IrO6 after structural relaxation.

```
NaY2IrO6
1.0
2.815 1.625 5.029
-2.815 1.625 5.029
0.000 -3.250 5.029
Na Y Ir O
1 2 1 6
Direct
0.000 0.000 0.000
0.274 0.274 0.274
0.785 0.785 0.785
0.477 0.477 0.477
0.116 0.665 0.397
0.231 0.572 0.839
0.397 0.116 0.665
0.572 0.839 0.231
0.665 0.397 0.116
0.839 0.231 0.572
```

calculated total energy	-7.5114	eV per atom
formation energy without anion corrections	-2.23	eV/atom
space-group type	R3 (146)

=====

DFT (PBE) results for Na2YIrO4 after structural relaxation.

```
Na2YIrO4
1.0
-2.935 2.935 3.257
2.935 -2.935 3.257
2.935 2.935 -3.257
Na Y Ir O
2 1 1 4
Direct
0.000 0.000 0.000
0.750 0.250 0.500
0.250 0.750 0.500
0.500 0.500 0.000
0.232 0.339 0.538
0.306 0.768 0.107
0.661 0.199 0.893
0.801 0.694 0.462
```

calculated total energy	-6.4593	eV per atom
formation energy without anion corrections	-1.73	eV/atom
space-group type	I-4 (82)

=====

DFT (PBE) results for NaYIrO4 after structural relaxation.

```
NaYIrO4
1.0
3.256 0.000 0.000
0.000 8.066 4.813
0.000 -8.066 4.813
Na Y Ir O
3 3 3 12
Direct
0.000 0.000 0.000
0.500 0.020 0.717
0.500 0.717 0.020
0.500 0.320 0.320
0.500 0.361 0.707
0.500 0.707 0.361
0.000 0.024 0.347
0.000 0.347 0.024
0.000 0.688 0.688
0.000 0.235 0.780
0.000 0.278 0.472
0.000 0.472 0.278
0.000 0.555 0.805
0.000 0.780 0.235
0.000 0.805 0.555
0.500 0.021 0.474
0.500 0.034 0.214
0.500 0.214 0.034
0.500 0.474 0.021
0.500 0.559 0.559
0.500 0.817 0.817
```

calculated total energy	-7.1197	eV per atom
formation energy without anion corrections	-1.91	eV/atom
space-group type	Amm2 (38)

=====

DFT (PBE) results for Na4Y2Ir3O12 after structural relaxation.

```
Na4Y2Ir3O12
1.0
9.493 0.000 0.000
-4.746 8.221 0.000
0.000 0.000 3.202
Na Y Ir O
4 2 3 12
Direct
0.000 0.000 0.000
0.000 0.698 0.500
0.302 0.302 0.500
0.698 0.000 0.500
0.333 0.667 0.500
0.667 0.333 0.500
0.000 0.331 0.000
0.331 0.000 0.000
0.669 0.669 0.000
0.000 0.198 0.500
0.000 0.458 0.500
0.198 0.000 0.500
0.218 0.757 0.000
0.243 0.461 0.000
0.458 0.000 0.500
0.461 0.243 0.000
0.539 0.782 0.000
0.542 0.542 0.500
0.757 0.218 0.000
0.782 0.539 0.000
0.802 0.802 0.500
```

calculated total energy	-6.6621	eV per atom
formation energy without anion corrections	-1.70	eV/atom
space-group type	P-62m (189)

=====

DFT (PBE) results for NaY2IrO5 after structural relaxation.

```
NaY2IrO5
1.0
-1.996 2.872 5.488
1.996 -2.872 5.488
1.996 2.872 -5.488
Na Y Ir O
1 2 1 5
Direct
0.000 0.000 0.000
0.290 0.790 0.500
0.710 0.210 0.500
0.500 0.500 0.000
0.123 0.352 0.771
0.420 0.648 0.771
0.500 0.000 0.500
0.580 0.352 0.229
0.877 0.648 0.229
```

calculated total energy	-7.5614	eV per atom
formation energy without anion corrections	-2.24	eV/atom
space-group type	Immm (71)

=====

DFT (PBE) results for Na2ZnIrO4 after structural relaxation.

```
Na2ZnIrO4
1.0
5.461 0.000 0.000
0.000 3.180 0.000
-1.887 0.000 5.257
Na Zn Ir O
2 1 1 4
Direct
0.000 0.000 0.000
0.500 0.500 0.000
0.000 0.500 0.500
0.500 0.000 0.500
0.249 0.000 0.699
0.283 0.500 0.297
0.717 0.500 0.703
0.751 0.000 0.301
```

calculated total energy	-5.3029	eV per atom
formation energy without anion corrections	-1.23	eV/atom
space-group type	P2/m (10)

=====

DFT (PBE) results for Na2ZnIrO6 after structural relaxation.

```
Na2ZnIrO6
1.0
5.422 0.000 0.000
0.000 5.527 0.000
-5.418 0.000 7.719
Na Zn Ir O
4 2 2 12
Direct
0.240 0.046 0.251
0.240 0.454 0.751
0.760 0.546 0.249
0.760 0.954 0.749
0.500 0.000 0.000
0.500 0.500 0.500
0.000 0.000 0.500
0.000 0.500 0.000
0.141 0.217 0.953
0.141 0.283 0.453
0.240 0.693 0.957
0.240 0.807 0.457
0.325 0.021 0.738
0.325 0.479 0.238
0.675 0.521 0.762
0.675 0.979 0.262
0.760 0.193 0.543
0.760 0.307 0.043
0.859 0.717 0.547
0.859 0.783 0.047
```

calculated total energy	-5.2304	eV per atom
formation energy without anion corrections	-0.98	eV/atom
space-group type	P2_1/c (14)

=====

DFT (PBE) results for NaZrIrO6 after structural relaxation.

```
NaZrIrO6
1.0
5.406 0.000 0.000
-2.703 4.682 0.000
0.000 0.000 10.056
Na Zr Ir O
2 2 2 12
Direct
0.000 0.000 0.000
0.000 0.000 0.500
0.333 0.667 0.250
0.667 0.333 0.750
0.333 0.667 0.750
0.667 0.333 0.250
0.027 0.385 0.643
0.027 0.642 0.857
0.358 0.385 0.857
0.358 0.973 0.643
0.385 0.027 0.143
0.385 0.358 0.357
0.615 0.642 0.643
0.615 0.973 0.857
0.642 0.027 0.357
0.642 0.615 0.143
0.973 0.358 0.143
0.973 0.615 0.357
```

calculated total energy	-6.9395	eV per atom
formation energy without anion corrections	-1.55	eV/atom
space-group type	P-31c (163)

=====

DFT (PBE) results for Na2ZrIrO6 after structural relaxation.

```
Na2ZrIrO6
1.0
5.666 0.000 0.000
0.000 8.015 0.000
0.000 0.000 5.668
Na Zr Ir O
4 2 2 12
Direct
0.250 0.000 0.249
0.250 0.500 0.249
0.750 0.000 0.751
0.750 0.500 0.751
0.250 0.250 0.750
0.750 0.750 0.250
0.250 0.750 0.750
0.750 0.250 0.250
0.010 0.750 0.510
0.010 0.750 0.991
0.250 0.510 0.750
0.250 0.990 0.750
0.490 0.750 0.510
0.490 0.750 0.991
0.510 0.250 0.009
0.510 0.250 0.490
0.750 0.010 0.250
0.750 0.490 0.250
0.990 0.250 0.009
0.990 0.250 0.490
```

calculated total energy	-6.7488	eV per atom
formation energy without anion corrections	-1.77	eV/atom
space-group type	Pmmn (59)

=====

DFT (PBE) results for Na2ZrIrO after structural relaxation.

```
Na2ZrIrO
1.0
7.461 0.000 0.000
0.000 7.461 0.000
0.000 0.000 4.717
Na Zr Ir O
2 1 1 1
Direct
0.000 0.500 0.000
0.500 0.000 0.000
0.000 0.000 0.000
0.000 0.000 0.500
0.500 0.500 0.500
```

calculated total energy	-3.5387	eV per atom
formation energy without anion corrections	1.46	eV/atom
space-group type	P4/mmm (123)

=====

DFT (PBE) results for NaZrIrO4 after structural relaxation.

```
NaZrIrO4
1.0
-3.316 3.370 4.103
3.316 -3.370 4.103
3.316 3.370 -4.103
Na Zr Ir O
2 2 2 8
Direct
0.394 0.144 0.250
0.606 0.856 0.750
0.000 0.000 0.500
0.000 0.500 0.000
0.000 0.500 0.500
0.500 0.500 0.000
0.195 0.245 0.951
0.206 0.755 0.451
0.259 0.314 0.556
0.259 0.703 0.944
0.741 0.297 0.056
0.741 0.686 0.444
0.794 0.245 0.549
0.805 0.755 0.049
```

calculated total energy	-7.4191	eV per atom
formation energy without anion corrections	-1.91	eV/atom
space-group type	Imma (74)

=====

DFT (PBE) results for Na2ZrIr3O12 after structural relaxation.

```
Na2ZrIr3O12
1.0
3.622 2.091 6.143
-3.622 2.091 6.143
0.000 -4.183 6.143
Na Zr Ir O
2 1 3 12
Direct
0.190 0.190 0.190
0.810 0.810 0.810
0.500 0.500 0.500
0.000 0.500 0.500
0.500 0.000 0.500
0.500 0.500 0.000
0.154 0.579 0.579
0.192 0.192 0.576
0.192 0.576 0.192
0.421 0.421 0.846
0.421 0.846 0.421
0.424 0.808 0.808
0.576 0.192 0.192
0.579 0.154 0.579
0.579 0.579 0.154
0.808 0.424 0.808
0.808 0.808 0.424
0.846 0.421 0.421
```

calculated total energy	-6.5610	eV per atom
formation energy without anion corrections	-1.16	eV/atom
space-group type	R-3m (166)

=====

Size of the total moment values, unit μB per cell, following the record order: 2.0 2.0 2.2 0.0 0.0 1.0 1.4 3.8 0.3 0.0 0.0 0.0.